Record 1
Computed, not measured: a geometry-optimized Tb2Pr2Sm3 structure at the PBE-GGA level of DFT.

Cell and atoms, written as POSCAR:
```
Tb2Pr2Sm3
1.0
8.845 -1.770 0.000
8.845 1.770 0.000
-4.267 0.000 7.678
Tb Pr Sm
2 2 3
Direct
0.065 0.065 0.405 Tb
0.935 0.935 0.595 Tb
0.354 0.354 0.174 Pr
0.646 0.646 0.826 Pr
0.287 0.287 0.694 Sm
0.500 0.500 0.000 Sm
0.713 0.713 0.306 Sm
```

Properties
Formation energy from the elements in eV/f.u.: 0.71
Total moment in μB/f.u.: 0.0



Record 2
Computed, not measured: a geometry-optimized TbPr7Sm2 structure at the PBE-GGA level of DFT.

Cell and atoms, written as POSCAR:
```
TbPr7Sm2
1.0
4.447 -8.423 0.000
4.447 8.423 0.000
0.000 0.000 5.622
Tb Pr Sm
1 7 2
Direct
0.000 0.000 0.000 Tb
0.069 0.292 0.500 Pr
0.219 0.781 0.000 Pr
0.292 0.069 0.500 Pr
0.500 0.500 0.500 Pr
0.708 0.931 0.500 Pr
0.781 0.219 0.000 Pr
0.931 0.708 0.500 Pr
0.295 0.705 0.500 Sm
0.705 0.295 0.500 Sm
```

Properties
Formation energy from the elements in eV/f.u.: 6.15
Total moment in μB/f.u.: 0.0



Record 3
Computed, not measured: a geometry-optimized TbPr14Sm structure at the PBE-GGA level of DFT.

Cell and atoms, written as POSCAR:
```
TbPr14Sm
1.0
7.391 0.000 0.000
0.000 7.391 0.000
0.000 0.000 10.480
Tb Pr Sm
1 14 1
Direct
0.000 0.000 0.000 Tb
0.000 0.000 0.500 Pr
0.000 0.500 0.000 Pr
0.000 0.500 0.500 Pr
0.249 0.249 0.248 Pr
0.249 0.249 0.752 Pr
0.249 0.751 0.248 Pr
0.249 0.751 0.752 Pr
0.500 0.000 0.000 Pr
0.500 0.000 0.500 Pr
0.500 0.500 0.500 Pr
0.751 0.249 0.248 Pr
0.751 0.249 0.752 Pr
0.751 0.751 0.248 Pr
0.751 0.751 0.752 Pr
0.500 0.500 0.000 Sm
```

Properties
Formation energy from the elements in eV/f.u.: 0.20
Total moment in μB/f.u.: 0.0